DFT (meta-GGA SCAN) results for KBaCa at its PBEsol-relaxed geometry.

Cell lengths 9.4069, 9.4069, 9.4069 Å; angles 90.00, 90.00, 90.00 degrees
Space group F-43m (No. 216)
Inequivalent atoms, fractional coordinates:
K 0.0000 0.0000 0.0000 (multiplicity 4)
Ba 0.0000 0.0000 0.5000 (multiplicity 4)
Ca 0.2500 0.2500 0.7500 (multiplicity 4)

## Properties
* total DFT energy (no corrections): -18.73 eV per atom
* mass density: 1.73 g/cm³